VASP calculation (PBE-GGA) on a relaxed AlReAu crystal.

Lattice parameters (Å, degrees): 4.4244 4.4244 2.7917 90.00 90.00 120.00
Each line ends with the local moment (μB).
Sites, in units of the cell vectors:
Re 0.3333 0.6667 0.6670  0.31
Au 0.6667 0.3333 0.1668  0.03
Al 0.0000 0.0000 0.1662  -0.01

energy of formation = 0.23 eV per atom
energy relative to the lowest polymorph listed for this composition = 493 meV/atom
ρ = 14.39 g/cm3
E_tot = -6.26 eV/atom
total moment = 0.4 μB per formula unit
space group = P-6m2

---

VASP calculation (PBE-GGA) on a relaxed Hf8Ti3Pb2 crystal.

Lattice parameters (Å, degrees): 4.5689 9.1137 8.7841 121.25 90.00 90.00
Sites, in units of the cell vectors:
Hf 0.0000 0.5994 0.1987
Hf 0.0000 0.4006 0.8013
Hf 0.0000 0.1384 0.2769
Hf 0.0000 0.8616 0.7231
Hf 0.5000 0.6327 0.7815
Hf 0.5000 0.1488 0.7815
Hf 0.5000 0.8512 0.2185
Hf 0.5000 0.3673 0.2185
Ti 0.5000 0.0000 0.0000
Ti 0.0000 0.2064 0.0000
Ti 0.0000 0.7936 0.0000
Pb 0.5001 0.2582 0.5164
Pb 0.4999 0.7418 0.4836

energy of formation = 0.28 eV per atom
ρ = 10.55 g/cm3
E_tot = -8.24 eV/atom
total moment = 0.0 μB per formula unit
space group = Cmmm

---

VASP calculation (PBE-GGA) on a relaxed ErMn4Al8 crystal.

Lattice parameters (Å, degrees): 4.9290 6.6730 6.6730 82.16 68.33 68.33
Sites, in units of the cell vectors:
Er 0.0000 0.0000 0.0000
Mn 0.0000 0.0000 0.5000
Mn 0.5000 0.0000 0.5000
Mn 0.0000 0.5000 0.0000
Mn 0.5000 0.5000 0.0000
Al 0.0000 0.3414 0.6586
Al 0.0000 0.6586 0.3414
Al 0.3414 0.6586 0.6586
Al 0.6586 0.3414 0.3414
Al 0.5000 0.7823 0.2177
Al 0.5000 0.2177 0.7823
Al 0.2823 0.2177 0.2177
Al 0.7177 0.7823 0.7823

energy of formation = -0.34 eV per atom
ρ = 5.28 g/cm3
E_tot = -5.82 eV/atom
total moment = 0.0 μB per formula unit
space group = I4/mmm

---

VASP calculation (PBE-GGA) on a relaxed Fe2Cu2Ir crystal.

Lattice parameters (Å, degrees): 6.6847 6.6847 2.6846 90.00 90.00 90.00
Sites, in units of the cell vectors:
Ir 0.0000 0.0000 0.0000
Ir 0.5000 0.5000 0.0000
Fe 0.1732 0.6732 0.5000
Fe 0.6732 0.8268 0.5000
Fe 0.8268 0.3268 0.5000
Fe 0.3268 0.1732 0.5000
Cu 0.3740 0.8740 0.0000
Cu 0.8740 0.6260 0.0000
Cu 0.6260 0.1260 0.0000
Cu 0.1260 0.3740 0.0000

energy of formation = 0.55 eV per atom
ρ = 11.93 g/cm3
E_tot = -6.25 eV/atom
total moment = 0.0 μB per formula unit
space group = P4/mbm

---

VASP calculation (PBE-GGA) on a relaxed La3NdAl crystal.

Lattice parameters (Å, degrees): 5.9500 5.9500 10.6270 90.00 90.00 114.51
Sites, in units of the cell vectors:
La 0.6830 0.2937 0.0680
La 0.6830 0.2937 0.4320
La 0.1196 0.1468 0.7500
La 0.2937 0.6830 0.5680
La 0.2937 0.6830 0.9320
La 0.1468 0.1196 0.2500
Nd 0.7594 0.5030 0.7500
Nd 0.5030 0.7594 0.2500
Al 0.8749 0.8749 0.0000
Al 0.8749 0.8749 0.5000

energy of formation = -0.01 eV per atom
energy relative to the lowest polymorph listed for this composition = 111 meV/atom
ρ = 5.70 g/cm3
E_tot = -4.67 eV/atom
total moment = 0.0 μB per formula unit
space group = Ama2

---

VASP calculation (PBE-GGA) on a relaxed Li2TaCo crystal.

Lattice parameters (Å, degrees): 3.0264 3.9154 4.7683 90.00 90.00 90.00
Sites, in units of the cell vectors:
Co 0.0000 0.5000 0.5000
Li 0.0000 0.0000 0.0000
Li 0.5000 0.5000 0.0000
Ta 0.5000 0.0000 0.5000

energy of formation = 0.19 eV per atom
energy relative to the lowest polymorph listed for this composition = 24 meV/atom
ρ = 7.46 g/cm3
E_tot = -5.51 eV/atom
total moment = 0.0 μB per formula unit
space group = Pmmm

---

- Number 4 is which compound?
  Fe2Cu2Ir

---

- Which of these has the highest E_tot?
  La3NdAl